Density functional theory data (GGA-PBE) for HgBPb3 after structural relaxation.

Unit cell a=5.739 b=5.739 c=5.739 alpha=90.00 beta=90.00 gamma=90.00
Fractional positions:
Pb1 0.000 0.500 0.000
Pb2 0.000 0.000 0.500
Pb3 0.500 0.000 0.000
B1 0.500 0.500 0.500
Hg1 0.000 0.000 0.000

Results
space group	No. 221
magnetization	0.0	μB per cell
final energy	-2.2018	eV/atom
ΔE_f	7.095	eV/f.u.

---

Density functional theory data (GGA-PBE) for HgBPb2 after structural relaxation.

Unit cell a=5.169 b=5.169 c=5.169 alpha=60.00 beta=60.00 gamma=60.00
Fractional positions:
Pb1 0.250 0.250 0.250
Pb2 0.750 0.750 0.750
B1 0.000 0.000 0.000
Hg1 0.500 0.500 0.500

Results
space group	No. 225
magnetization	0.0	μB per cell
final energy	-2.6929	eV/atom
ΔE_f	3.624	eV/f.u.

---

Density functional theory data (GGA-PBE) for HgBPb2 after structural relaxation.

Unit cell a=6.543 b=6.543 c=7.088 alpha=62.51 beta=62.51 gamma=90.00
Fractional positions:
Pb1 0.540 0.125 0.250
Pb2 0.210 0.625 0.250
Pb3 0.375 0.460 0.750
Pb4 0.875 0.790 0.750
B1 0.500 0.500 0.000
B2 0.250 0.750 0.500
Hg1 0.000 0.000 0.000
Hg2 0.750 0.250 0.500

Results
space group	No. 122
magnetization	0.0	μB per cell
final energy	-2.9344	eV/atom
ΔE_f	2.658	eV/f.u.

---

Density functional theory data (GGA-PBE) for HgB2Pb after structural relaxation.

Unit cell a=4.640 b=4.640 c=4.640 alpha=60.00 beta=60.00 gamma=60.00
Fractional positions:
Pb1 0.500 0.500 0.500
B1 0.250 0.250 0.250
B2 0.750 0.750 0.750
Hg1 0.000 0.000 0.000

Results
space group	No. 225
magnetization	0.0	μB per cell
final energy	-2.6518	eV/atom
ΔE_f	6.758	eV/f.u.

---

Density functional theory data (GGA-PBE) for HgBPb3 after structural relaxation.

Unit cell a=5.143 b=5.143 c=5.143 alpha=90.00 beta=90.00 gamma=90.00
Fractional positions:
Pb1 0.000 0.500 0.000
Pb2 0.000 0.000 0.500
Pb3 0.500 0.000 0.000
B1 0.000 0.000 0.000
Hg1 0.500 0.500 0.500

Results
space group	No. 221
magnetization	0.0	μB per cell
final energy	-3.0208	eV/atom
ΔE_f	3.000	eV/f.u.

---

Density functional theory data (GGA-PBE) for Hg2BPb after structural relaxation.

Unit cell a=7.348 b=7.348 c=6.311 alpha=54.40 beta=54.40 gamma=90.00
Fractional positions:
Pb1 0.000 0.000 0.000
Pb2 0.750 0.250 0.500
B1 0.500 0.500 0.000
B2 0.250 0.750 0.500
Hg1 0.501 0.125 0.250
Hg2 0.249 0.625 0.250
Hg3 0.375 0.499 0.750
Hg4 0.875 0.751 0.750

Results
space group	No. 122
magnetization	0.0	μB per cell
final energy	-2.0570	eV/atom
ΔE_f	2.761	eV/f.u.

---

Density functional theory data (GGA-PBE) for HgB3Pb after structural relaxation.

Unit cell a=4.750 b=4.750 c=4.750 alpha=90.00 beta=90.00 gamma=90.00
Fractional positions:
Pb1 0.000 0.000 0.000
B1 0.000 0.500 0.000
B2 0.000 0.000 0.500
B3 0.500 0.000 0.000
Hg1 0.500 0.500 0.500

Results
space group	No. 221
magnetization	0.0	μB per cell
final energy	-2.4122	eV/atom
ΔE_f	11.981	eV/f.u.

---

Density functional theory data (GGA-PBE) for HgBSbPb2 after structural relaxation.

Unit cell a=5.984 b=4.094 c=5.984 alpha=90.00 beta=90.00 gamma=90.00
Fractional positions:
Pb1 0.000 0.000 0.500
Pb2 0.500 0.000 0.000
Sb1 0.500 0.500 0.500
B1 0.000 0.500 0.000
Hg1 0.000 0.000 0.000

Results
space group	No. 123
magnetization	0.0	μB per cell
final energy	-2.9077	eV/atom
uncorrected formation energy	796	meV per atom

---

Please write out number 7 again, unchanged.
Density functional theory data (GGA-PBE) for HgB3Pb after structural relaxation.

Unit cell a=4.750 b=4.750 c=4.750 alpha=90.00 beta=90.00 gamma=90.00
Fractional positions:
Pb1 0.000 0.000 0.000
B1 0.000 0.500 0.000
B2 0.000 0.000 0.500
B3 0.500 0.000 0.000
Hg1 0.500 0.500 0.500

Results
space group	No. 221
magnetization	0.0	μB per cell
final energy	-2.4122	eV/atom
ΔE_f	11.981	eV/f.u.